# K2ZnHgBi2 (PBE, optimized geometry)
data_K2ZnHgBi2
_cell_length_a 4.9044
_cell_length_b 4.9044
_cell_length_c 10.6083
_cell_angle_alpha 90.00
_cell_angle_beta 90.00
_cell_angle_gamma 120.00
_space_group_name_H-M_alt 'P -6 m 2'
_space_group_IT_number 187
_space_group_name_Hall 'P -6 2'
loop_
_atom_site_label
_atom_site_fract_x
_atom_site_fract_y
_atom_site_fract_z
_atom_site_occupancy
K1 0.0000 0.0000 0.2481 1
Zn1 0.6667 0.3333 0.0000 1
Hg1 0.3333 0.6667 0.5000 1
Bi1 0.3333 0.6667 0.0000 1
Bi2 0.6667 0.3333 0.5000 1
# ρ in Mg/m³: 5.73
# Electronic total energy in eV/cell: -13.5